1.
First-principles (PBE) data for a relaxed LaCdOs2 crystal, as listed in Alexandria.

Computed properties:
As for the formation energy: 691 meV/atom.

abc: 3.1945 4.7104 5.1861
angles: 90.00 90.00 90.00
Space group Pmmm (No. 47)
One atom of each set of equivalent atoms:
La: 0.0000 0.0000 0.0000 (multiplicity 1)
Cd: 0.5000 0.0000 0.5000 (multiplicity 1)
Os: 0.0000 0.5000 0.5000 (multiplicity 1)
Os: 0.5000 0.5000 0.0000 (multiplicity 1)

2.
First-principles (PBE) data for a relaxed Ca2MnTcN4 crystal, as listed in Alexandria.

Computed properties:
As for the formation energy (no corrections): -588.0 meV/atom.

abc: 6.7932 5.7836 5.5320
angles: 90.00 90.00 90.00
Space group Pmn2_1 (No. 31)
One atom of each set of equivalent atoms:
Ca: 0.2489 0.2391 0.0000 (multiplicity 4)
Mn: 0.0000 0.2080 0.4988 (multiplicity 2)
Tc: 0.0000 0.7872 0.9988 (multiplicity 2)
N: 0.0000 0.0019 0.2567 (multiplicity 2)
N: 0.0000 0.0048 0.7435 (multiplicity 2)
N: 0.2411 0.3504 0.4971 (multiplicity 4)

How do the records compare in volume? In the order shown, they have 78, 217 Å³ per cell.